Density functional theory data (PBE-GGA) for an optimized crystal structure of LaMg2Se.

The value obtained for the uncorrected formation energy is -453.8 meV per atom. The total energy comes out at -53.7 eV/cell.

It has space group F-43m (No. 216), with a = 7.436 Å, b = 7.436 Å, c = 7.436 Å, α = 90.00°, β = 90.00° and γ = 90.00°. Symmetry generates all atoms from La at (0.000, 0.000, 0.000), Mg at (0.000, 0.000, 0.500), Mg at (0.250, 0.250, 0.750) and Se at (0.250, 0.250, 0.250).